First-principles (PBE) data for a relaxed SrCa2Au crystal, as listed in Alexandria.

Calculated values
N(E_F) = 1.1370 states/eV per atom
magnetization = 0.000 μB/cell
SG = No. 225
VASP energy = -9.504 eV per cell
formation energy from the elements = -0.14 eV per atom
excess energy over the best structure of this formula in the dataset = 126 kJ/mol of formula units

a = 5.5751 Å, b = 5.5751 Å, c = 5.5751 Å
α = 60.00°, β = 60.00°, γ = 60.00°
Closest atoms and distances in Å follow each position.
Positions (direct):
Au  0.5000  0.5000  0.5000  8 Ca 3.41
Ca  0.7500  0.7500  0.7500  4 Sr 3.41, 4 Au 3.41
Ca  0.2500  0.2500  0.2500  4 Sr 3.41, 4 Au 3.41
Sr  0.0000  0.0000  0.0000  8 Ca 3.41